Density functional theory data (PBE-GGA) for TlSbHBr after structural relaxation.

Computed properties:
As for the energy relative to the lowest polymorph listed for this composition: 246.2 meV/atom. The value obtained for the density of states at the Fermi level is 0.364 states/eV/atom. Its total magnetic moment is 0.0 μB per formula unit. Its calculated density is 5.78 g cm⁻³.

Unit cell a=3.5057 b=6.0927 c=5.7509 alpha=90.00 beta=107.76 gamma=90.00
Closest atoms and distances in Å follow each position.
Fractional positions:
Tl  0.0000  0.0000  0.0000  2 H 2.04
Sb  0.9464  0.5000  0.8799  1 Br 2.61
H  0.5962  0.0000  0.1913  2 Tl 2.04
Br  0.7082  0.5000  0.4037  1 Sb 2.61